one:
Computed, not measured: a relaxed Na3BeMo crystal at the PBE-GGA level of DFT.

```
Na3BeMo
1.0
-1.291 -1.010 5.658
2.191 -5.448 -0.472
5.314 2.001 1.570
Na Mo Be
3 1 1
Cartesian
1.096 -2.724 -0.236
2.657 1.001 0.785
-0.646 -0.505 2.829
0.000 0.000 0.000
3.107 -2.228 3.378
```

D(E_F) in states/eV per cell: 7.23
Total moment in μB per formula unit: 5.02

=====

two:
Computed, not measured: a relaxed Na3BeMo crystal at the PBE-GGA level of DFT.

```
Na3BeMo
1.0
5.300 0.000 0.000
0.000 5.300 0.000
0.000 0.000 5.300
Na Mo Be
3 1 1
Cartesian
0.000 2.650 0.000
0.000 0.000 2.650
2.650 0.000 0.000
2.650 2.650 2.650
0.000 0.000 0.000
```

D(E_F) in states/eV per cell: 3.38
Total moment in μB per formula unit: 4.54

=====

Of them, the most stable is two and the least stable is one.

=====

one:
Computed, not measured: a relaxed BeNb3Mo crystal at the PBE-GGA level of DFT.

```
BeNb3Mo
1.0
-3.460 -2.735 0.172
2.522 -3.070 1.923
-1.072 1.605 3.969
Be Mo Nb
1 1 3
Cartesian
0.000 0.000 0.000
-1.005 -2.100 3.032
1.261 -1.535 0.961
-0.536 0.803 1.985
-1.730 -1.367 0.086
```

D(E_F) in states/eV per cell: 6.39
Total moment in μB per formula unit: 0.00

=====

two:
Computed, not measured: a relaxed BeNb3Mo crystal at the PBE-GGA level of DFT.

```
BeNb3Mo
1.0
4.805 0.000 0.000
0.000 4.805 0.000
0.000 0.000 4.805
Be Mo Nb
1 1 3
Cartesian
2.402 2.402 2.402
0.000 0.000 0.000
0.000 2.402 0.000
0.000 0.000 2.402
2.402 0.000 0.000
```

D(E_F) in states/eV per cell: 4.07
Total moment in μB per formula unit: 0.00

=====

Of them, the most stable is one and the least stable is two.

=====

one:
Computed, not measured: a relaxed BeNbMo3 crystal at the PBE-GGA level of DFT.

```
BeNbMo3
1.0
-2.753 -2.971 -1.387
2.841 -1.256 -2.947
1.638 -2.815 2.779
Be Mo Nb
1 3 1
Cartesian
0.000 0.000 0.000
1.420 -0.628 -1.474
0.819 -1.408 1.390
-1.377 -1.486 -0.694
0.863 -3.521 -0.777
```

D(E_F) in states/eV per cell: 4.91
Total moment in μB per formula unit: 0.00

=====

two:
Computed, not measured: a relaxed BeNbMo3 crystal at the PBE-GGA level of DFT.

```
BeNbMo3
1.0
-1.092 0.598 4.560
-3.567 -3.068 -0.451
2.903 -3.546 1.160
Be Mo Nb
1 3 1
Cartesian
-0.878 -3.008 2.634
-1.784 -1.534 -0.226
1.451 -1.773 0.580
-0.546 0.299 2.280
0.000 0.000 0.000
```

D(E_F) in states/eV per cell: 6.72
Total moment in μB per formula unit: 0.00

=====

Of them, the most stable is one and the least stable is two.

=====

one:
Computed, not measured: a relaxed Be2NiMo2 crystal at the PBE-GGA level of DFT.

```
Be2NiMo2
1.0
2.747 0.000 0.000
0.000 2.747 0.000
1.373 1.373 7.921
Ni Mo Be
1 2 2
Cartesian
0.000 0.000 0.000
1.373 1.373 1.835
2.747 2.747 6.086
2.747 1.373 3.961
1.373 2.747 3.961
```

D(E_F) in states/eV per cell: 1.84
Total moment in μB per formula unit: 0.00

=====

two:
Computed, not measured: a relaxed Be2NiMo2 crystal at the PBE-GGA level of DFT.

```
Be2NiMo2
1.0
-0.016 5.569 1.545
-1.948 1.450 -5.244
-3.248 -0.319 1.118
Ni Mo Be
2 4 4
Cartesian
0.000 0.000 0.000
-0.982 3.509 -1.850
-2.934 1.764 -2.695
-3.250 4.778 -2.752
-2.278 4.935 0.114
-1.962 1.921 0.172
-1.703 3.330 -3.995
-1.239 5.763 -1.951
-0.261 3.688 0.296
-0.725 1.255 -1.748
```

D(E_F) in states/eV per cell: 7.26
Total moment in μB per formula unit: 0.00

=====

Of them, the most stable is two and the least stable is one.

=====

one:
Computed, not measured: a relaxed SrBeNiMo crystal at the PBE-GGA level of DFT.

```
SrBeNiMo
1.0
3.174 0.000 0.000
0.000 3.937 0.000
0.000 0.000 12.227
Sr Mo Be Ni
2 2 2 2
Cartesian
0.000 0.000 7.129
1.587 1.968 1.015
0.000 1.968 4.256
1.587 0.000 10.370
0.000 1.968 10.496
1.587 0.000 4.383
0.000 0.000 2.889
1.587 1.968 9.002
```

D(E_F) in states/eV per cell: 11.52
Total moment in μB per formula unit: 0.00

=====

two:
Computed, not measured: a relaxed SrBeNiMo crystal at the PBE-GGA level of DFT.

```
SrBeNiMo
1.0
-0.711 3.228 1.466
-1.025 -1.580 2.983
11.059 0.571 4.102
Sr Mo Be Ni
2 2 2 2
Cartesian
4.622 0.239 1.715
9.639 -0.266 5.257
1.191 1.694 1.307
6.208 1.189 4.849
7.359 0.380 2.730
1.317 -0.696 2.170
8.234 2.058 3.919
2.192 0.982 3.359
```

D(E_F) in states/eV per cell: 10.35
Total moment in μB per formula unit: 0.00

=====

Of them, the most stable is two and the least stable is one.

=====

one:
Computed, not measured: a relaxed TiBeNi2Mo crystal at the PBE-GGA level of DFT.

```
TiBeNi2Mo
1.0
4.268 0.000 0.000
0.000 4.551 0.000
0.000 0.000 4.268
Ni Mo Be Ti
2 1 1 1
Cartesian
0.000 0.000 2.134
2.134 0.000 0.000
0.000 2.275 0.000
2.134 2.275 2.134
0.000 0.000 0.000
```

D(E_F) in states/eV per cell: 2.68
Total moment in μB per formula unit: 0.00

=====

two:
Computed, not measured: a relaxed TiBeNi2Mo crystal at the PBE-GGA level of DFT.

```
TiBeNi2Mo
1.0
-3.502 0.693 -2.087
-2.207 -0.049 3.687
0.571 4.077 0.395
Ni Mo Be Ti
2 1 1 1
Cartesian
0.285 2.038 0.198
-1.751 0.346 -1.043
-2.569 2.360 0.998
-1.103 -0.024 1.844
0.000 0.000 0.000
```

D(E_F) in states/eV per cell: 3.53
Total moment in μB per formula unit: 0.52

=====

Of them, the most stable is two and the least stable is one.